Model w:
DFT (PBE-GGA) results for an optimized crystal structure of Zn2CuH.

The space group is I-42d (No. 122) and the conventional cell measures 6.058, 6.058 and 5.138 Å, with angles of 90.00, 90.00 and 90.00 degrees. Symmetry generates all atoms from Zn at (0.175, 0.250, 0.125), Cu at (0.000, 0.000, 0.500) and H at (0.000, 0.000, 0.000).


Model x:
DFT (PBE-GGA) results for an optimized crystal structure of Zn2CuH.

The space group is Fm-3m (No. 225) and the conventional cell measures 5.804, 5.804 and 5.804 Å, with angles of 90.00, 90.00 and 90.00 degrees. Symmetry generates all atoms from Zn at (0.250, 0.250, 0.250), Cu at (0.000, 0.000, 0.000) and H at (0.000, 0.000, 0.500).


Most stable: model w (next structure +16.1 kJ/mol of atoms)


Model w:
DFT (PBE-GGA) results for an optimized crystal structure of ZrCu3H.

The space group is Pm-3m (No. 221) and the conventional cell measures 5.108, 5.108 and 5.108 Å, with angles of 90.00, 90.00 and 90.00 degrees. Symmetry generates all atoms from Zr at (0.000, 0.000, 0.000), Cu at (0.000, 0.000, 0.500) and H at (0.500, 0.500, 0.500).


Model x:
DFT (PBE-GGA) results for an optimized crystal structure of ZrCu3H.

The space group is Pm-3m (No. 221) and the conventional cell measures 3.974, 3.974 and 3.974 Å, with angles of 90.00, 90.00 and 90.00 degrees. Symmetry generates all atoms from Zr at (0.000, 0.000, 0.000), Cu at (0.000, 0.500, 0.500) and H at (0.500, 0.500, 0.500).


Most stable: model x (next structure +146.2 kJ/mol of atoms)